Below is SrMgI2O after structural relaxation, with properties calculated at the GGA-PBE level.

Cell: 5.912 5.912 3.904 Å, 90.00 90.00 90.00°
Space group P4/mmm (No. 123)
One atom of each set of equivalent atoms:
Sr 0.000 0.000 0.000
Mg 0.500 0.500 0.500
I 0.000 0.500 0.500
O 0.500 0.500 0.000

Properties
* V: 136.5 Å³/cell
* energy relative to the elements, uncorrected: -1385 meV per atom
* E: -3.652 eV/atom
* ΔE to the lowest computed polymorph: 0.00 kcal/mol of atoms